1.
## BaTe2RuN (GGA-PBE)

Data for a relaxed structure of BaTe2RuN.

Results
Calculated density in g/cm³: 6.63
Offset from the most stable computed form in eV per atom: 0.0000
Energy relative to the elements, uncorrected in kJ/mol of atoms: -32.5
Magnetization in Bohr magnetons per cell: 0.00

Cell: 5.815 5.815 3.758 Å, 90.00 90.00 90.00°
Atoms (fractional coordinates):
1 Ba 0.000 0.000 0.000
2 Te 0.000 0.500 0.500
3 Te 0.500 0.000 0.500
4 Ru 0.500 0.500 0.500
5 N 0.500 0.500 0.000


2.
## Tb2PmSmSb4 (GGA-PBE)

Data for a relaxed structure of Tb2PmSmSb4.

Results
Calculated density in g/cm³: 7.37
Energy relative to the elements, uncorrected in kJ/mol of atoms: -112.3
Magnetization in Bohr magnetons per cell: 0.00

Cell: 7.693 4.445 7.694 Å, 90.00 109.48 90.00°
Atoms (fractional coordinates):
1 Tb 0.000 0.000 0.000
2 Tb 0.000 0.500 0.500
3 Pm 0.500 0.000 0.500
4 Sm 0.500 0.500 0.000
5 Sb 0.245 0.000 0.749
6 Sb 0.245 0.500 0.248
7 Sb 0.755 0.000 0.251
8 Sb 0.755 0.500 0.752